PPdAuCl2: optimized geometry, GGA-PBE.

Cell: 4.854 4.854 4.708 Å, 90.00 90.00 90.00°
Element x y z (fractional)
P 0.000 0.000 0.500
Au 0.500 0.500 0.500
Pd 0.000 0.000 0.000
Cl 0.000 0.500 0.000
Cl 0.500 0.000 0.000

Results
Final energy (eV for the cell shown): -15.4
Theoretical density (Mg/m³): 6.067
Total magnetic moment (μB per cell): 0.000
Uncorrected formation energy (meV/atom): 439
Excess energy over the best structure of this formula in the dataset (eV/f.u.): 0.00


PPdAuCl2: optimized geometry, GGA-PBE.

Cell: 5.030 5.030 4.798 Å, 90.00 90.00 90.00°
Site moments in Bohr magnetons follow the coordinates.
Element x y z (fractional)
P 0.000 0.000 0.500  0.38
Au 0.000 0.000 0.000  0.03
Pd 0.500 0.500 0.500  0.10
Cl 0.000 0.500 0.000  0.04
Cl 0.500 0.000 0.000  0.04

Results
Final energy (eV for the cell shown): -14.0
Theoretical density (Mg/m³): 5.544
Total magnetic moment (μB per cell): 1.056
Uncorrected formation energy (meV/atom): 717
Excess energy over the best structure of this formula in the dataset (eV/f.u.): 1.39